Computed, not measured: crystalline SmCuSb at its relaxed geometry at the PBE level of DFT.

Results
The formation energy without anion corrections comes out at -725 meV per atom. The calculation puts the density of states at the Fermi level at 1.46 states/eV/f.u. For the volume, the calculation gives 69.6 Å³ per cell.

Lattice parameters (Å, degrees): 4.3708 4.3708 4.2072 90.00 90.00 120.00
Closest atoms and distances in Å follow each position.
Fractional coordinates of all 3 atoms:
Sm 0.0000 0.0000 0.0000  6 Cu 3.28-3.29, 6 Sb 3.28-3.29
Cu 0.3333 0.6667 0.5018  3 Sb 2.52
Sb 0.6667 0.3333 0.4996  3 Cu 2.52

Computed, not measured: crystalline MgTaAs3 at its relaxed geometry at the PBE level of DFT.

Results
The calculation puts the density of states at the Fermi level at 5.51 states/eV/f.u. The value obtained for the formation energy from the elements is 570 kJ/mol of formula units. For the volume, the calculation gives 110.1 Å³ per cell.

Lattice parameters (Å, degrees): 4.7931 4.7931 4.7931 90.00 90.00 90.00
Closest atoms and distances in Å follow each position.
Fractional coordinates of all 5 atoms:
Mg 0.0000 0.0000 0.0000  6 As 2.40
Ta 0.5000 0.5000 0.5000  12 As 3.39
As 0.0000 0.0000 0.5000  2 Mg 2.40
As 0.0000 0.5000 0.0000  2 Mg 2.40
As 0.5000 0.0000 0.0000  2 Mg 2.40

Computed, not measured: crystalline SmTm6Tl4 at its relaxed geometry at the PBE level of DFT.

Results
The calculation puts the density of states at the Fermi level at 8.69 states/eV/f.u. The value obtained for the formation energy from the elements is -229 kJ/mol of formula units. For the volume, the calculation gives 320.0 Å³ per cell.

Lattice parameters (Å, degrees): 9.9557 9.9557 3.7283 90.00 90.00 120.00
Closest atoms and distances in Å follow each position.
Fractional coordinates of all 11 atoms:
Sm 0.0000 0.0000 0.0000  6 Tl 3.38, 2 Sm 3.73, 6 Tm 3.79
Tm 0.1912 0.3823 0.5000  4 Tl 3.08-3.09
Tm 0.1912 0.8088 0.5000  4 Tl 3.08-3.09
Tm 0.5385 0.0771 0.0000  5 Tl 3.23-3.54
Tm 0.5385 0.4615 0.0000  5 Tl 3.23-3.54
Tm 0.6177 0.8088 0.5000  4 Tl 3.08-3.09
Tm 0.9229 0.4615 0.0000  5 Tl 3.23-3.54
Tl 0.3274 0.1637 0.5000  6 Tm 3.09-3.23, 2 Sm 3.38
Tl 0.3333 0.6667 0.0000  6 Tm 3.08
Tl 0.8363 0.1637 0.5000  6 Tm 3.09-3.23, 2 Sm 3.38
Tl 0.8363 0.6726 0.5000  6 Tm 3.09-3.23, 2 Sm 3.38

Computed, not measured: crystalline Sc2GaRuC at its relaxed geometry at the PBE level of DFT.

Results
The calculation puts the density of states at the Fermi level at 1.43 states/eV/f.u. The value obtained for the formation energy from the elements is -260 kJ/mol of formula units. For the volume, the calculation gives 80.4 Å³ per cell.

Lattice parameters (Å, degrees): 4.5331 4.5331 3.9107 90.00 90.00 90.00
Closest atoms and distances in Å follow each position.
Fractional coordinates of all 5 atoms:
Sc 0.0000 0.5000 0.0000  2 C 2.27
Sc 0.5000 0.0000 0.0000  2 C 2.27
Ga 0.0000 0.0000 0.5000  8 Sc 2.99, 4 Ru 3.21
Ru 0.5000 0.5000 0.5000  2 C 1.96
C 0.5000 0.5000 0.0000  2 Ru 1.96

Computed, not measured: crystalline TlTePbI at its relaxed geometry at the PBE level of DFT.

Results
The formation energy without anion corrections comes out at -493 meV per atom. For the volume, the calculation gives 159.2 Å³ per cell.

Lattice parameters (Å, degrees): 8.8371 8.8371 8.8371 30.67 30.67 30.67
Closest atoms and distances in Å follow each position.
Fractional coordinates of all 4 atoms:
Tl 0.0000 0.0000 0.0000  3 Te 3.43, 3 I 3.64
Te 0.5826 0.5826 0.5826  3 Pb 3.18, 3 Tl 3.43
Pb 0.1828 0.1828 0.1828  3 Te 3.18, 3 I 3.47
I 0.7633 0.7633 0.7633  3 Pb 3.47, 3 Tl 3.64

Computed, not measured: crystalline MgOs4Cl at its relaxed geometry at the PBE level of DFT.

Results
The formation energy without anion corrections comes out at 1093 meV per atom. The calculation puts the density of states at the Fermi level at 11.06 states/eV/f.u. For the volume, the calculation gives 102.8 Å³ per cell.

Lattice parameters (Å, degrees): 5.2581 5.2581 5.2581 60.00 60.00 60.00
Closest atoms and distances in Å follow each position.
Fractional coordinates of all 6 atoms:
Mg 0.0000 0.0000 0.0000  12 Os 3.08, 4 Cl 3.22
Os 0.1249 0.6250 0.6250  6 Os 2.63
Os 0.6250 0.1249 0.6250  6 Os 2.63
Os 0.6250 0.6250 0.1249  6 Os 2.63
Os 0.6250 0.6250 0.6250  6 Os 2.63
Cl 0.2500 0.2500 0.2500  12 Os 3.08, 4 Mg 3.22

| no. | magnetization (μB/f.u.) |
| --- | --- |
| 1 | 0.0 |
| 2 | 0.0 |
| 3 | 2.5 |
| 4 | 0.0 |
| 5 | 0.0 |
| 6 | 1.8 |